! PBE SbP2ClF, optimized geometry; values from VASP
! Polymorph energy (0 for the lowest one): 0 meV per atom
! ρ: 4.2 g cm⁻³
! Formation energy without anion corrections: 0.37 eV/atom
! SG: P4/mmm, No. 123
! DFT total energy: -16.801 eV/f.u.
&SYSTEM
  ibrav = 0, nat = 5, ntyp = 4
/
ATOMIC_SPECIES
Sb 121.76 Sb.upf
F 19.00 F.upf
P 30.97 P.upf
Cl 35.45 Cl.upf
ATOMIC_POSITIONS angstrom
Sb -3.193 -2.024 1.326
F 0.000 0.000 0.000
P -1.409 -0.831 -1.323
P -1.552 0.952 1.054
Cl -0.232 -2.145 1.595
CELL_PARAMETERS angstrom
-3.103 1.904 2.109
-2.818 -1.662 -2.646
-0.465 -4.291 3.190

---

! PBE K2HoScSe4, optimized geometry; values from VASP
! ρ: 4.5 g cm⁻³
! Formation energy without anion corrections: -1.68 eV/atom
! SG: P2/m, No. 10
! DFT total energy: -40.520 eV/f.u.
&SYSTEM
  ibrav = 0, nat = 8, ntyp = 4
/
ATOMIC_SPECIES
K 39.10 K.upf
Ho 164.93 Ho.upf
Sc 44.96 Sc.upf
Se 78.96 Se.upf
ATOMIC_POSITIONS angstrom
K -0.752 1.662 4.115
K 0.566 -2.219 3.874
Ho -2.583 -3.095 0.780
Sc 0.000 0.000 0.000
Se -1.760 -0.662 2.053
Se -1.009 -2.990 6.716
Se 1.588 0.238 5.890
Se -0.456 -4.676 1.858
CELL_PARAMETERS angstrom
-3.901 0.786 1.020
-1.264 -6.976 0.539
2.396 2.538 7.209

---

! PBE CsZnTe2Au, optimized geometry; values from VASP
! ρ: 5.9 g cm⁻³
! Formation energy without anion corrections: -0.60 eV/atom
! SG: Cmme, No. 67
! DFT total energy: -14.701 eV/f.u.
&SYSTEM
  ibrav = 0, nat = 10, ntyp = 4
/
ATOMIC_SPECIES
Cs 132.91 Cs.upf
Zn 65.41 Zn.upf
Te 127.60 Te.upf
Au 196.97 Au.upf
ATOMIC_POSITIONS angstrom
Cs 1.691 3.412 3.646
Cs 5.607 0.000 3.646
Zn 3.649 5.118 0.000
Zn 3.649 1.706 0.000
Te 5.145 3.412 5.799
Te 5.145 3.412 1.492
Te 2.153 0.000 5.799
Te 2.153 0.000 1.492
Au 0.000 0.000 0.000
Au 0.000 3.412 0.000
CELL_PARAMETERS angstrom
7.298 0.000 0.000
0.000 6.824 0.000
0.000 -3.412 7.291

---

! PBE CuAsCl2, optimized geometry; values from VASP
! Polymorph energy (0 for the lowest one): 484 meV per atom
! ρ: 4.0 g cm⁻³
! Formation energy without anion corrections: 0.13 eV/atom
! SG: Immm, No. 71
! DFT total energy: -11.907 eV/f.u.
&SYSTEM
  ibrav = 0, nat = 4, ntyp = 3
/
ATOMIC_SPECIES
As 74.92 As.upf
Cu 63.55 Cu.upf
Cl 35.45 Cl.upf
ATOMIC_POSITIONS angstrom
As 1.009 1.862 1.469
Cu 3.671 -0.737 1.239
Cl 5.476 5.610 0.000
Cl 3.062 3.137 0.000
CELL_PARAMETERS angstrom
5.509 0.316 -0.230
0.183 5.515 0.230
-1.012 -4.706 2.708

---

! PBE Ba2Ag2Pd, optimized geometry; values from VASP
! Calculated formation energy: -0.199 eV per atom
! Polymorph energy (0 for the lowest one): 160 meV per atom
! ρ: 6.5 g cm⁻³
! SG: P4/mbm, No. 127
! DFT total energy: -15.738 eV/f.u.
&SYSTEM
  ibrav = 0, nat = 10, ntyp = 3
/
ATOMIC_SPECIES
Pd 106.42 Pd.upf
Ba 137.33 Ba.upf
Ag 107.87 Ag.upf
ATOMIC_POSITIONS angstrom
Pd 0.000 0.000 0.000
Pd 4.052 4.052 0.000
Ba 1.482 5.534 2.339
Ba 5.534 6.621 2.339
Ba 6.621 2.570 2.339
Ba 2.570 1.482 2.339
Ag 3.051 7.103 0.000
Ag 7.103 5.052 0.000
Ag 5.052 1.001 0.000
Ag 1.001 3.051 0.000
CELL_PARAMETERS angstrom
8.103 0.000 0.000
0.000 8.103 0.000
0.000 0.000 4.678

---

! PBE CeIn3Hg4, optimized geometry; values from VASP
! Calculated formation energy: -0.179 eV per atom
! ρ: 10.4 g cm⁻³
! SG: Pmma, No. 51
! DFT total energy: -16.786 eV/f.u.
&SYSTEM
  ibrav = 0, nat = 16, ntyp = 3
/
ATOMIC_SPECIES
Hg 200.59 Hg.upf
Ce 140.12 Ce.upf
In 114.82 In.upf
ATOMIC_POSITIONS angstrom
Hg 2.505 6.197 0.000
Hg 2.505 6.197 5.006
Hg 2.505 2.017 0.000
Hg 2.505 2.017 5.006
Hg 0.006 6.195 7.509
Hg 5.003 6.195 2.503
Hg 5.003 2.018 2.503
Hg 0.006 2.018 7.509
Ce 0.000 4.107 0.000
Ce 0.000 4.107 5.006
In 0.000 0.000 0.000
In 0.000 0.000 5.006
In 2.512 0.000 7.509
In 2.498 0.000 2.503
In 2.509 4.107 7.509
In 2.501 4.107 2.503
CELL_PARAMETERS angstrom
5.010 0.000 0.000
0.000 8.213 0.000
0.000 0.000 10.012

---

! PBE BeTlCr2Os, optimized geometry; values from VASP
! Calculated formation energy: 1.497 eV per atom
! ρ: 7.3 g cm⁻³
! SG: P4/mmm, No. 123
! DFT total energy: -29.082 eV/f.u.
&SYSTEM
  ibrav = 0, nat = 5, ntyp = 4
/
ATOMIC_SPECIES
Cr 52.00 Cr.upf
Tl 204.38 Tl.upf
Os 190.23 Os.upf
Be 9.01 Be.upf
ATOMIC_POSITIONS angstrom
Cr 0.618 1.075 2.004
Cr -0.413 2.096 -0.996
Tl -2.480 -0.100 0.818
Os 0.000 0.000 0.000
Be -2.275 3.071 1.826
CELL_PARAMETERS angstrom
-0.827 4.191 -1.993
-4.959 -0.200 1.637
1.236 2.150 4.009

---

! PBE Be2Nb2In, optimized geometry; values from VASP
! Calculated formation energy: 0.345 eV per atom
! Polymorph energy (0 for the lowest one): 508 meV per atom
! ρ: 6.5 g cm⁻³
! SG: P4/mbm, No. 127
! DFT total energy: -28.605 eV/f.u.
&SYSTEM
  ibrav = 0, nat = 10, ntyp = 3
/
ATOMIC_SPECIES
Be 9.01 Be.upf
Nb 92.91 Nb.upf
In 114.82 In.upf
ATOMIC_POSITIONS angstrom
Be -2.778 -3.060 -3.404
Be -6.350 -4.230 -2.489
Be -5.647 -3.463 1.237
Be -2.075 -2.293 0.322
Nb -5.157 -2.434 -4.101
Nb -7.419 -2.783 -0.672
Nb -4.267 -1.334 1.555
Nb -2.005 -0.985 -1.874
In 0.000 0.000 0.000
In -4.712 -1.884 -1.273
CELL_PARAMETERS angstrom
-6.140 -1.710 3.757
-3.284 -2.058 -6.303
0.999 -2.755 0.379

---

! PBE Mg3ZnSn3Ru2, optimized geometry; values from VASP
! Calculated formation energy: -0.115 eV per atom
! ρ: 7.0 g cm⁻³
! SG: P-62m, No. 189
! DFT total energy: -37.653 eV/f.u.
&SYSTEM
  ibrav = 0, nat = 9, ntyp = 4
/
ATOMIC_SPECIES
Mg 24.30 Mg.upf
Zn 65.41 Zn.upf
Sn 118.71 Sn.upf
Ru 101.07 Ru.upf
ATOMIC_POSITIONS angstrom
Mg -2.131 -1.591 -5.022
Mg 0.796 -4.451 3.442
Mg -0.862 -2.480 -0.540
Zn 0.000 0.000 0.000
Sn 1.435 -3.983 -1.842
Sn 1.232 -2.014 1.682
Sn -0.331 -0.487 -2.838
Ru -1.018 -3.261 -3.160
Ru 0.333 -4.581 0.747
CELL_PARAMETERS angstrom
-3.022 -1.359 0.586
-0.858 -1.262 -7.359
3.194 -5.222 4.360

---

! PBE BIrPt, optimized geometry; values from VASP
! Calculated formation energy: -0.123 eV per atom
! ρ: 16.8 g cm⁻³
! SG: R-3m, No. 166
! DFT total energy: -21.949 eV/f.u.
&SYSTEM
  ibrav = 0, nat = 6, ntyp = 3
/
ATOMIC_SPECIES
B 10.81 B.upf
Pt 195.08 Pt.upf
Ir 192.22 Ir.upf
ATOMIC_POSITIONS angstrom
B 1.194 -2.568 4.807
B -3.893 -2.583 4.473
Pt -2.854 -1.545 2.638
Pt 0.154 -3.606 6.641
Ir -0.154 -1.644 3.012
Ir -2.545 -3.507 6.267
CELL_PARAMETERS angstrom
-2.597 0.661 2.292
-2.478 -2.435 0.608
2.375 -3.377 6.379

---

! PBE Cs2CdHg2, optimized geometry; values from VASP
! Calculated formation energy: -0.064 eV per atom
! Polymorph energy (0 for the lowest one): 133 meV per atom
! ρ: 5.1 g cm⁻³
! SG: P4/mbm, No. 127
! DFT total energy: -3.546 eV/f.u.
&SYSTEM
  ibrav = 0, nat = 10, ntyp = 3
/
ATOMIC_SPECIES
Cs 132.91 Cs.upf
Hg 200.59 Hg.upf
Cd 112.41 Cd.upf
ATOMIC_POSITIONS angstrom
Cs -1.783 -6.567 6.490
Cs -5.251 -9.629 3.399
Cs -4.604 -6.083 -0.840
Cs -1.136 -3.020 2.252
Hg -2.125 -2.722 6.027
Hg -5.409 -7.979 6.916
Hg -7.640 -7.572 1.079
Hg -4.356 -2.315 0.190
Cd 0.000 0.000 0.000
Cd -3.194 -6.325 2.825
CELL_PARAMETERS angstrom
-6.825 -7.445 -3.789
0.437 -5.204 9.439
-3.377 2.355 1.455

---

! PBE ScPaNi, optimized geometry; values from VASP
! Calculated formation energy: -0.236 eV per atom
! Polymorph energy (0 for the lowest one): 0 meV per atom
! ρ: 9.3 g cm⁻³
! SG: Fmmm, No. 69
! DFT total energy: -22.316 eV/f.u.
&SYSTEM
  ibrav = 0, nat = 6, ntyp = 3
/
ATOMIC_SPECIES
Sc 44.96 Sc.upf
Pa 231.04 Pa.upf
Ni 58.69 Ni.upf
ATOMIC_POSITIONS angstrom
Sc -3.122 0.445 -0.074
Sc -2.016 -2.391 -0.407
Pa -2.704 -1.396 2.918
Pa -0.065 -0.205 1.531
Ni -2.207 1.309 2.472
Ni -0.562 -2.911 1.977
CELL_PARAMETERS angstrom
-4.214 3.247 0.255
-0.925 -5.193 -0.735
2.369 0.345 4.929

---

! PBE NbNi2HgTe, optimized geometry; values from VASP
! ρ: 7.5 g cm⁻³
! Formation energy without anion corrections: 0.92 eV/atom
! SG: P4/mmm, No. 123
! DFT total energy: -20.492 eV/f.u.
&SYSTEM
  ibrav = 0, nat = 5, ntyp = 4
/
ATOMIC_SPECIES
Ni 58.69 Ni.upf
Nb 92.91 Nb.upf
Te 127.60 Te.upf
Hg 200.59 Hg.upf
ATOMIC_POSITIONS angstrom
Ni 0.000 0.000 2.369
Ni 2.369 0.000 0.000
Nb 0.000 0.000 0.000
Te 0.000 2.639 0.000
Hg 2.369 2.639 2.369
CELL_PARAMETERS angstrom
4.738 0.000 0.000
0.000 5.277 0.000
0.000 0.000 4.738

---

! PBE CaErTlSn, optimized geometry; values from VASP
! Calculated formation energy: -0.451 eV per atom
! ρ: 8.0 g cm⁻³
! SG: F-43m, No. 216
! DFT total energy: -14.737 eV/f.u.
&SYSTEM
  ibrav = 0, nat = 4, ntyp = 4
/
ATOMIC_SPECIES
Tl 204.38 Tl.upf
Ca 40.08 Ca.upf
Sn 118.71 Sn.upf
Er 167.26 Er.upf
ATOMIC_POSITIONS angstrom
Tl 8.082 4.666 3.300
Ca 5.388 3.111 2.200
Sn 2.694 1.555 1.100
Er 0.000 0.000 0.000
CELL_PARAMETERS angstrom
5.388 0.000 0.000
2.694 4.666 0.000
2.694 1.555 4.399

---

! PBE Fe2CoRu, optimized geometry; values from VASP
! Calculated formation energy: 0.148 eV per atom
! ρ: 9.6 g cm⁻³
! SG: P4/mmm, No. 123
! DFT total energy: -32.714 eV/f.u.
&SYSTEM
  ibrav = 0, nat = 4, ntyp = 3
/
ATOMIC_SPECIES
Co 58.93 Co.upf
Fe 55.84 Fe.upf
Ru 101.07 Ru.upf
ATOMIC_POSITIONS angstrom
Co 1.818 0.000 1.799
Fe 0.000 0.000 0.000
Fe 0.000 1.799 1.799
Ru 1.818 1.799 0.000
CELL_PARAMETERS angstrom
3.635 0.000 0.000
0.000 3.598 0.000
0.000 0.000 3.598

---

! PBE Na3Ce2NdS6, optimized geometry; values from VASP
! ρ: 3.8 g cm⁻³
! Formation energy without anion corrections: -1.75 eV/atom
! SG: C2/m, No. 12
! DFT total energy: -66.399 eV/f.u.
&SYSTEM
  ibrav = 0, nat = 12, ntyp = 4
/
ATOMIC_SPECIES
Na 22.99 Na.upf
Ce 140.12 Ce.upf
Nd 144.24 Nd.upf
S 32.06 S.upf
ATOMIC_POSITIONS angstrom
Na -3.572 -4.550 0.723
Na -2.726 2.893 4.264
Na -3.149 -0.828 2.494
Ce -3.656 -1.144 -1.564
Ce -3.234 2.574 0.204
Nd 0.000 0.000 0.000
S -4.537 0.576 4.730
S -4.984 0.343 0.469
S -1.761 -2.233 0.258
S -4.961 -3.152 2.956
S -1.314 -2.000 4.519
S -1.337 1.496 2.032
CELL_PARAMETERS angstrom
-2.811 6.291 1.973
-4.079 -4.861 -3.332
0.592 -3.087 6.347

---

! PBE Ho7Al2Pt2, optimized geometry; values from VASP
! Calculated formation energy: -0.498 eV per atom
! ρ: 8.8 g cm⁻³
! SG: Cmmm, No. 65
! DFT total energy: -57.086 eV/f.u.
&SYSTEM
  ibrav = 0, nat = 11, ntyp = 3
/
ATOMIC_SPECIES
Ho 164.93 Ho.upf
Al 26.98 Al.upf
Pt 195.08 Pt.upf
ATOMIC_POSITIONS angstrom
Ho -0.605 1.816 3.318
Ho 3.350 5.155 -0.396
Ho 6.092 5.152 2.522
Ho 2.137 1.813 6.236
Ho 0.000 0.000 0.000
Ho 2.744 5.194 2.921
Ho 2.743 1.774 2.919
Al 4.573 3.482 4.867
Al 0.914 3.486 0.973
Pt 4.412 6.970 1.356
Pt 1.075 -0.002 4.484
CELL_PARAMETERS angstrom
6.696 -0.003 -0.797
0.003 6.973 0.003
-1.212 -0.002 6.634

---

! PBE LaMoAs2, optimized geometry; values from VASP
! Calculated formation energy: -0.529 eV per atom
! Polymorph energy (0 for the lowest one): 117 meV per atom
! ρ: 7.3 g cm⁻³
! SG: Imm2, No. 44
! DFT total energy: -27.173 eV/f.u.
&SYSTEM
  ibrav = 0, nat = 4, ntyp = 3
/
ATOMIC_SPECIES
Mo 95.94 Mo.upf
As 74.92 As.upf
La 138.91 La.upf
ATOMIC_POSITIONS angstrom
Mo -2.388 -1.516 1.647
As -0.768 -0.557 -0.021
As -4.136 -0.726 -0.273
La -5.024 -3.644 -0.139
CELL_PARAMETERS angstrom
-6.496 -2.655 -2.051
-4.609 -5.400 1.745
4.341 5.640 1.674

---

! PBE Er3TmSi4, optimized geometry; values from VASP
! ρ: 6.9 g cm⁻³
! Formation energy without anion corrections: -0.55 eV/atom
! SG: Immm, No. 71
! DFT total energy: -44.290 eV/f.u.
&SYSTEM
  ibrav = 0, nat = 8, ntyp = 3
/
ATOMIC_SPECIES
Er 167.26 Er.upf
Tm 168.93 Tm.upf
Si 28.09 Si.upf
ATOMIC_POSITIONS angstrom
Er 2.210 -1.373 1.673
Er -1.074 1.285 2.470
Er -0.664 -0.896 5.860
Tm -1.182 -1.548 0.291
Si -1.210 1.924 5.317
Si -0.528 -1.535 3.013
Si 1.127 -2.564 4.266
Si -2.865 2.953 4.065
CELL_PARAMETERS angstrom
-2.364 -3.095 0.582
4.419 -2.746 3.347
-3.793 6.231 4.401

---

! PBE La2TaFe, optimized geometry; values from VASP
! Calculated formation energy: 0.629 eV per atom
! Polymorph energy (0 for the lowest one): 449 meV per atom
! ρ: 9.6 g cm⁻³
! SG: F-43m, No. 216
! DFT total energy: -27.654 eV/f.u.
&SYSTEM
  ibrav = 0, nat = 4, ntyp = 3
/
ATOMIC_SPECIES
Fe 55.84 Fe.upf
La 138.91 La.upf
Ta 180.95 Ta.upf
ATOMIC_POSITIONS angstrom
Fe 5.020 2.898 2.049
La 0.000 0.000 0.000
La 2.510 1.449 1.025
Ta 7.530 4.347 3.074
CELL_PARAMETERS angstrom
5.020 0.000 0.000
2.510 4.347 0.000
2.510 1.449 4.099

---

! PBE TaP3W, optimized geometry; values from VASP
! Calculated formation energy: 1.246 eV per atom
! Polymorph energy (0 for the lowest one): 139 meV per atom
! ρ: 7.1 g cm⁻³
! SG: Pm-3m, No. 221
! DFT total energy: -34.804 eV/f.u.
&SYSTEM
  ibrav = 0, nat = 5, ntyp = 3
/
ATOMIC_SPECIES
P 30.97 P.upf
W 183.84 W.upf
Ta 180.95 Ta.upf
ATOMIC_POSITIONS angstrom
P 1.593 0.300 1.737
P -1.312 1.766 0.898
P -1.177 -1.562 1.350
W -0.896 0.505 3.985
Ta 0.000 0.000 0.000
CELL_PARAMETERS angstrom
-2.355 -3.123 2.700
3.187 0.601 3.474
-2.624 3.532 1.797

---

! PBE CuOsPt2O, optimized geometry; values from VASP
! ρ: 12.2 g cm⁻³
! Formation energy without anion corrections: 0.61 eV/atom
! SG: P4/mmm, No. 123
! DFT total energy: -29.337 eV/f.u.
&SYSTEM
  ibrav = 0, nat = 5, ntyp = 4
/
ATOMIC_SPECIES
O 16.00 O.upf
Os 190.23 Os.upf
Cu 63.55 Cu.upf
Pt 195.08 Pt.upf
ATOMIC_POSITIONS angstrom
O -1.160 -1.285 -0.539
Os 0.000 0.000 0.000
Cu -3.853 0.683 0.562
Pt -1.249 0.231 2.135
Pt -1.444 1.737 -1.033
CELL_PARAMETERS angstrom
-2.889 3.474 -2.066
-2.319 -2.570 -1.079
-2.498 0.462 4.269

---

! PBE Si2PtC, optimized geometry; values from VASP
! ρ: 7.8 g cm⁻³
! Formation energy without anion corrections: -0.13 eV/atom
! SG: I-42d, No. 122
! DFT total energy: -26.648 eV/f.u.
&SYSTEM
  ibrav = 0, nat = 8, ntyp = 3
/
ATOMIC_SPECIES
Si 28.09 Si.upf
C 12.01 C.upf
Pt 195.08 Pt.upf
ATOMIC_POSITIONS angstrom
Si 3.561 1.320 1.000
Si 1.719 3.960 1.000
Si 3.960 4.359 3.000
Si 6.600 6.200 3.000
C 2.640 2.640 0.000
C 2.640 5.280 2.000
Pt 0.000 0.000 0.000
Pt 5.280 2.640 2.000
CELL_PARAMETERS angstrom
5.280 0.000 0.000
0.000 5.280 0.000
2.640 2.640 4.000

---

! PBE Na2Hg3Au, optimized geometry; values from VASP
! Calculated formation energy: -0.239 eV per atom
! ρ: 9.6 g cm⁻³
! SG: Pmm2, No. 25
! DFT total energy: -8.254 eV/f.u.
&SYSTEM
  ibrav = 0, nat = 6, ntyp = 3
/
ATOMIC_SPECIES
Na 22.99 Na.upf
Hg 200.59 Hg.upf
Au 196.97 Au.upf
ATOMIC_POSITIONS angstrom
Na 1.305 -0.577 2.047
Na -1.154 3.553 2.096
Hg -3.308 5.353 4.239
Hg -1.725 0.478 1.363
Hg -1.522 3.297 5.413
Au -0.754 0.930 4.016
CELL_PARAMETERS angstrom
-2.626 -1.579 1.230
2.703 -1.438 3.925
-2.384 7.340 4.330

---

! PBE ZnCuRh2, optimized geometry; values from VASP
! Calculated formation energy: -0.034 eV per atom
! ρ: 10.1 g cm⁻³
! SG: R3m, No. 160
! DFT total energy: -20.207 eV/f.u.
&SYSTEM
  ibrav = 0, nat = 4, ntyp = 3
/
ATOMIC_SPECIES
Cu 63.55 Cu.upf
Rh 102.91 Rh.upf
Zn 65.41 Zn.upf
ATOMIC_POSITIONS angstrom
Cu -18.982 -3.574 -1.279
Rh -0.025 -0.005 -0.002
Rh -6.299 -1.186 -0.425
Zn -12.603 -2.373 -0.849
CELL_PARAMETERS angstrom
-8.626 -0.237 -1.346
-8.122 -2.910 -1.357
-8.525 -1.611 0.999

---

! PBE Pr4HCSe2, optimized geometry; values from VASP
! ρ: 6.5 g cm⁻³
! SG: P2/m, No. 10
! DFT total energy: -46.841 eV/f.u.
&SYSTEM
  ibrav = 0, nat = 8, ntyp = 4
/
ATOMIC_SPECIES
Pr 140.91 Pr.upf
H 1.01 H.upf
C 12.01 C.upf
Se 78.96 Se.upf
ATOMIC_POSITIONS angstrom
Pr 2.010 1.292 1.579
Pr 2.010 3.261 5.351
Pr 0.000 0.014 5.402
Pr 0.000 4.540 1.528
H 0.000 0.000 0.000
C 2.010 3.446 0.099
Se 2.010 -1.169 3.366
Se 0.000 2.277 3.465
CELL_PARAMETERS angstrom
4.020 0.000 0.000
0.000 6.892 0.199
0.000 -2.339 6.732